[1]
Hg2MoPt: relaxed, PBE.

Calculated values
**Density of states at the Fermi level**: 0.735 states/eV per atom
**Energy relative to the elements**: 0.427 eV per atom
**Final energy**: -3.942 eV/atom

abc: 2.853 4.828 5.328
angles: 90.00 92.46 90.00
Space group P2/m (No. 10)
Symmetry-distinct sites (fractional):
Hg1 0.203 0.000 0.248 x2
Mo1 0.500 0.500 0.000 x1
Pt1 0.000 0.500 0.500 x1

=====

[2]
LiHfTiRe: relaxed, PBE.

Calculated values
**Density of states at the Fermi level**: 0.838 states/eV per atom
**Energy relative to the elements**: -0.145 eV per atom
**Final energy**: -8.198 eV/atom

abc: 6.409 6.409 6.409
angles: 90.00 90.00 90.00
Space group F-43m (No. 216)
Symmetry-distinct sites (fractional):
Li1 0.000 0.000 0.000 x4
Hf1 0.250 0.250 0.750 x4
Ti1 0.250 0.250 0.250 x4
Re1 0.000 0.000 0.500 x4

=====

[3]
ZrRe3Pb: relaxed, PBE.

Calculated values
**Density of states at the Fermi level**: 1.996 states/eV per atom
**Energy relative to the elements**: 2.679 eV per atom
**Final energy**: -7.241 eV/atom

abc: 4.892 4.892 4.892
angles: 90.00 90.00 90.00
Space group Pm-3m (No. 221)
Symmetry-distinct sites (fractional):
Zr1 0.000 0.000 0.000 x1
Re1 0.000 0.500 0.500 x3
Pb1 0.500 0.500 0.500 x1